Record 1
The following is a PBE calculation of Ac12Zn2Sn5 after structural relaxation, from Alexandria.

```
19
Lattice="-1.961 -7.257 -3.104 -1.002 0.463 10.204 -9.246 3.797 -3.037" Properties=species:S:1:pos:R:3 pbc="T T T"
Ac -4.536 -6.053 6.363
Ac -9.172 3.115 3.810
Ac -10.147 -0.493 2.267
Ac -4.811 1.253 5.587
Ac -5.819 -2.477 3.991
Ac -8.531 -0.395 6.314
Ac -3.678 -2.601 -2.250
Ac -7.397 -4.249 -1.523
Ac -6.389 -0.519 0.073
Ac -3.036 -6.111 0.254
Ac -2.061 -2.503 1.797
Ac -7.673 3.057 -2.299
Zn -1.291 -4.779 -2.044
Zn -0.670 -2.478 -1.060
Sn -7.081 0.529 3.237
Sn -2.786 -1.427 5.096
Sn -4.623 1.899 -1.518
Sn -9.423 -1.569 -1.033
Sn -5.128 -3.525 0.827
```

Values from the calculation:
total DFT energy (no corrections) = -4.09 eV/atom
energy of formation from the pure elements = -0.31 eV per atom

Record 2
The following is a PBE calculation of DyZnIrO6 after structural relaxation, from Alexandria.

```
18
Lattice="-5.052 -0.378 1.974 1.832 -3.724 -3.512 2.926 -4.761 6.574" Properties=species:S:1:pos:R:3 pbc="T T T"
Dy 0.269 -3.799 -0.040
Dy -0.563 -5.064 5.076
Zn 0.000 0.000 0.000
Zn 1.463 -2.381 3.287
Ir -2.026 -2.684 1.789
Ir 1.732 -6.180 3.247
O -1.898 -3.204 -0.071
O -3.874 -2.155 1.568
O 1.945 -6.653 1.383
O 3.580 -6.708 3.468
O -0.163 -3.132 2.062
O -2.570 -4.508 2.136
O 1.117 -7.970 3.651
O -2.239 -2.210 3.653
O 2.275 -4.355 2.900
O -1.411 -0.894 1.385
O -0.131 -5.732 2.974
O 1.603 -5.660 5.107
```

Values from the calculation:
formation energy from raw total energies = -1228.9 kJ/mol of formula units
total DFT energy (no corrections) = -6.36 eV/atom

Record 3
The following is a PBE calculation of ScGaPt2 after structural relaxation, from Alexandria.

```
16
Lattice="-2.251 4.407 2.615 -6.139 -0.938 -3.705 -2.326 -4.088 4.888" Properties=species:S:1:pos:R:3 pbc="T T T"
Sc -2.362 1.187 0.085
Sc -7.613 1.065 1.759
Sc -8.354 -1.806 3.712
Sc -3.103 -1.685 2.039
Ga -3.892 0.992 2.669
Ga -5.175 -0.518 -1.881
Ga -6.824 -1.611 1.128
Ga -5.541 -0.101 5.678
Pt -2.874 3.222 3.255
Pt -7.497 -0.198 -0.952
Pt -5.374 -3.464 2.033
Pt -5.688 -0.798 3.260
Pt -7.843 -3.841 0.543
Pt -3.220 -0.421 4.750
Pt -5.342 2.845 1.765
Pt -5.028 0.179 0.537
```

Values from the calculation:
total DFT energy (no corrections) = -6.34 eV/atom
energy of formation from the pure elements = -0.98 eV per atom

Record 4
The following is a PBE calculation of LiPrZrIr after structural relaxation, from Alexandria.

```
4
Lattice="-2.659 -1.238 3.919 2.099 -0.197 4.418 -1.091 3.368 3.381" Properties=species:S:1:pos:R:3 pbc="T T T"
Pr -1.239 1.449 8.789
Ir -0.826 0.966 5.859
Zr -0.413 0.483 2.930
Li 0.000 0.000 0.000
```

Values from the calculation:
total DFT energy (no corrections) = -6.31 eV/atom
energy of formation from the pure elements = -0.29 eV per atom

- What is the total DFT energy (no corrections) in the second record?
  -6.36 eV/atom